No. 1
A relaxed PmSn3Pd7 crystal, computed with GGA-PBE.

Unit cell a=5.6426 b=6.4734 c=6.4734 alpha=98.68 beta=104.41 gamma=104.41
Positions (direct):
1 Sn 0.0000 0.2300 0.7700
2 Sn 0.5000 0.0000 0.0000
3 Sn 0.0000 0.7700 0.2300
4 Pd 0.3152 0.5940 0.0467
5 Pd 0.6848 0.9533 0.4060
6 Pd 0.3152 0.0467 0.5940
7 Pd 0.0000 0.5000 0.5000
8 Pd 0.0417 0.1843 0.1843
9 Pd 0.9583 0.8157 0.8157
10 Pd 0.6848 0.4060 0.9533
11 Pm 0.5000 0.5000 0.5000

Summary:
ρ in Mg/m³: 9.6
Magnetization in μB/cell: 0.0
V in Å³ per cell: 216
DOS(E_F) in states/eV/cell: 4.7
Formation energy from the elements in eV per atom: -0.493

***

No. 2
A relaxed CaInBr2 crystal, computed with GGA-PBE.

Unit cell a=4.0624 b=6.3672 c=4.6618 alpha=90.00 beta=90.00 gamma=90.00
Positions (direct):
1 In 0.0000 0.5000 0.5000
2 Br 0.5000 0.5000 0.0000
3 Br 0.0000 0.0000 0.0000
4 Ca 0.5000 0.0000 0.5000

Summary:
ρ in Mg/m³: 4.3
Magnetization in μB/cell: 0.0
Relative energy among the computed polymorphs in eV per atom: 0.324
V in Å³ per cell: 121
DOS(E_F) in states/eV/cell: 2.5
Energy relative to the elements, uncorrected in eV/atom: -0.9540